# 1
Below is AcAsH2Pt2 after structural relaxation, with properties calculated at the PBE level.

POSCAR file:
```
AcAsH2Pt2
1.0
5.5900 0.0000 0.0000
0.0000 6.1305 0.3879
0.0000 -1.8183 5.8770
Ac As H Pt
2 2 4 4
Cartesian
4.1925 0.6020 4.2056 Ac
1.3975 3.7101 2.0593 Ac
1.3975 -0.4882 4.9700 As
4.1925 4.8004 1.2949 As
1.3975 0.7883 2.3521 H
1.3975 2.4064 4.6820 H
4.1925 3.5238 3.9128 H
4.1925 1.9058 1.5830 H
2.7951 0.8421 1.2331 Pt
5.5899 0.8421 1.2331 Pt
0.0001 3.4700 5.0318 Pt
2.7949 3.4700 5.0318 Pt
```

Output
DFT total energy = -5.178 eV per atom
Total magnetization = 0.000 μB per atom
Volume = 205.3 Å³ per cell



# 2
Below is KSiNi2 after structural relaxation, with properties calculated at the PBE level.

POSCAR file:
```
KSiNi2
1.0
-4.7164 5.2809 -0.8317
-0.0324 -3.6749 2.8462
-0.1039 1.6854 2.1745
K Ni Si
1 2 1
Cartesian
-2.3744 0.8030 1.0073 K
0.0000 0.0000 0.0000 Ni
-2.4101 3.4832 0.6714 Ni
-0.0681 -0.9947 2.5103 Si
```

Output
DFT total energy = -3.879 eV per atom
Total magnetization = 0.000 μB per atom
Volume = 59.5 Å³ per cell
Uncorrected formation energy = 642 meV per atom



# 3
Below is TaBeCd2 after structural relaxation, with properties calculated at the PBE level.

POSCAR file:
```
TaBeCd2
1.0
-1.7247 2.7171 2.9938
1.3084 -1.5391 2.1505
4.8863 2.4353 0.6049
Be Cd Ta
1 2 1
Cartesian
3.7836 2.0307 3.5635 Be
5.9675 1.0288 2.5042 Cd
3.3246 0.3155 1.6289 Cd
0.6863 1.5826 2.1858 Ta
```

Output
DFT total energy = -3.895 eV per atom
Total magnetization = 0.000 μB per atom
Volume = 69.1 Å³ per cell



Question: The lowest DFT total energy belongs to which entry?
Answer: AcAsH2Pt2



Question: Among the records above, which one has the highest volume?
Answer: AcAsH2Pt2